La2CuRh, single point on PBEsol structure, DFT meta-GGA SCAN; space-group type = Amm2 (38); total DFT energy (no corrections) = -34.3210 eV per atom
1.0
-0.607 1.703 3.538
1.250 -3.742 2.016
5.287 0.835 -1.726
Rh La Cu
1 2 1
direct
0.832 0.000 0.665 Rh
0.105 0.000 0.211 La
0.382 0.500 0.765 La
0.674 0.500 0.347 Cu

LaCuRu2, single point on PBEsol structure, DFT meta-GGA SCAN; energy above the most stable polymorph in this dataset = 46.82 kJ per mole of atoms; space-group type = F-43m (216)
1.0
-4.401 -1.142 0.195
-1.727 -1.763 3.824
-2.876 2.448 2.539
Cu La Ru
1 1 2
direct
0.500 0.500 0.500 Cu
0.250 0.250 0.250 La
0.000 0.000 0.000 Ru
0.750 0.750 0.750 Ru

LaCuRu2, single point on PBEsol structure, DFT meta-GGA SCAN; energy above the most stable polymorph in this dataset = 0.00 kJ per mole of atoms; space-group type = R3m (160)
1.0
4.249 0.000 0.000
2.125 3.680 0.000
2.125 1.227 4.984
La Ru Cu
1 2 1
direct
0.746 0.746 0.763 La
0.262 0.262 0.213 Ru
0.937 0.937 0.188 Ru
0.545 0.545 0.365 Cu

LaCuRu2, single point on PBEsol structure, DFT meta-GGA SCAN; energy above the most stable polymorph in this dataset = 33.27 kJ per mole of atoms; space-group type = P4mm (99)
1.0
2.909 0.000 0.000
0.000 2.909 0.000
0.000 0.000 7.786
Ru Cu La
2 1 1
direct
0.000 0.000 0.054 Ru
0.500 0.500 0.248 Ru
0.000 0.000 0.454 Cu
0.500 0.500 0.744 La

LaCuRu2Se, single point on PBEsol structure, DFT meta-GGA SCAN; formation energy without anion corrections = 0.158 eV/atom; space-group type = P4/mmm (123)
1.0
4.546 0.000 0.000
0.000 4.586 0.000
0.000 0.000 4.586
Cu Ru Se La
1 2 1 1
direct
0.500 0.000 0.000 Cu
0.000 0.500 0.000 Ru
0.000 0.000 0.500 Ru
0.000 0.000 0.000 Se
0.500 0.500 0.500 La

LaCuS2, single point on PBEsol structure, DFT meta-GGA SCAN; formation energy without anion corrections = -1.677 eV/atom; space-group type = P2_1/c (14)
1.0
6.479 0.004 0.000
-0.931 6.753 0.000
0.000 0.000 7.223
S La Cu
8 4 4
direct
0.591 0.776 0.887 S
0.906 0.500 0.226 S
0.094 0.000 0.726 S
0.094 0.500 0.774 S
0.409 0.724 0.387 S
0.409 0.224 0.113 S
0.906 0.000 0.274 S
0.591 0.276 0.613 S
0.189 0.301 0.447 La
0.189 0.801 0.053 La
0.811 0.699 0.553 La
0.811 0.199 0.947 La
0.569 0.049 0.335 Cu
0.569 0.549 0.165 Cu
0.431 0.951 0.665 Cu
0.431 0.451 0.835 Cu

La3Cu2S7, single point on PBEsol structure, DFT meta-GGA SCAN; formation energy without anion corrections = -1.536 eV/atom; space-group type = P6_3mc (186)
1.0
-2.568 -4.177 2.536
8.796 -3.264 3.531
-5.413 6.553 5.314
S La Cu
14 6 4
direct
0.732 0.469 0.938 S
0.519 0.746 0.873 S
0.232 0.938 0.469 S
0.732 0.062 0.531 S
0.732 0.469 0.531 S
0.019 0.254 0.127 S
0.519 0.127 0.873 S
0.519 0.127 0.254 S
0.256 0.333 0.667 S
0.019 0.873 0.127 S
0.232 0.531 0.469 S
0.232 0.531 0.062 S
0.019 0.873 0.746 S
0.756 0.667 0.333 S
0.028 0.630 0.815 La
0.528 0.815 0.185 La
0.028 0.185 0.815 La
0.528 0.815 0.630 La
0.028 0.185 0.370 La
0.528 0.370 0.185 La
0.655 0.333 0.667 Cu
0.155 0.667 0.333 Cu
0.518 0.000 0.000 Cu
0.018 0.000 0.000 Cu

LaCuSb2S, single point on PBEsol structure, DFT meta-GGA SCAN; formation energy without anion corrections = -0.385 eV/atom; space-group type = P4/mmm (123)
1.0
-2.982 3.652 -0.247
-0.808 -0.325 4.946
3.809 3.166 0.830
Sb La Cu S
2 1 1 1
direct
0.000 0.000 0.500 Sb
0.000 0.500 0.000 Sb
0.500 0.500 0.500 La
0.000 0.000 0.000 Cu
0.500 0.000 0.000 S

La2CuSbS5, single point on PBEsol structure, DFT meta-GGA SCAN; formation energy without anion corrections = -1.513 eV/atom; space-group type = Ima2 (46)
1.0
7.452 0.000 0.000
0.000 7.557 0.000
-3.726 -3.778 6.553
La S Sb Cu
4 10 2 2
direct
0.500 0.781 0.000 La
0.884 0.418 0.500 La
0.000 0.281 0.000 La
0.116 0.918 0.500 La
0.739 0.036 0.500 S
0.782 0.565 0.211 S
0.218 0.353 0.789 S
0.261 0.536 0.500 S
0.739 0.514 0.800 S
0.261 0.714 0.200 S
0.071 0.853 0.789 S
0.929 0.065 0.211 S
0.561 0.014 0.800 S
0.439 0.214 0.200 S
0.423 0.241 0.500 Sb
0.577 0.741 0.500 Sb
0.500 0.313 0.000 Cu
0.000 0.813 0.000 Cu

LaCu2Sb, single point on PBEsol structure, DFT meta-GGA SCAN; formation energy without anion corrections = -0.474 eV/atom; space-group type = R3m (160)
1.0
-3.190 -1.201 2.551
0.736 -0.727 4.130
-1.876 4.486 3.318
Sb Cu La
1 2 1
direct
0.287 0.287 0.138 Sb
0.012 0.012 0.964 Cu
0.704 0.704 0.889 Cu
0.491 0.491 0.527 La

La4Cu5Sb8, single point on PBEsol structure, DFT meta-GGA SCAN; formation energy without anion corrections = -0.756 eV/atom; space-group type = P4mm (99)
1.0
-0.255 0.660 4.319
2.667 -3.404 0.678
16.193 12.494 -0.952
Sb Cu La
8 5 4
direct
0.500 0.500 0.674 Sb
0.000 0.500 0.502 Sb
0.000 0.500 0.993 Sb
0.500 0.000 0.502 Sb
0.500 0.000 0.993 Sb
0.000 0.000 0.328 Sb
0.000 0.000 0.821 Sb
0.500 0.500 0.186 Sb
0.500 0.000 0.747 Cu
0.000 0.500 0.747 Cu
0.500 0.000 0.254 Cu
0.500 0.500 0.065 Cu
0.000 0.500 0.254 Cu
0.500 0.500 0.378 La
0.500 0.500 0.866 La
0.000 0.000 0.126 La
0.000 0.000 0.626 La

LaCu2Sb, single point on PBEsol structure, DFT meta-GGA SCAN; formation energy without anion corrections = -0.131 eV/atom; space-group type = P4mm (99)
1.0
-3.213 -0.159 0.839
0.853 -0.550 3.165
-0.027 6.969 1.219
Sb Cu La
1 2 1
direct
0.500 0.500 0.808 Sb
0.500 0.500 0.181 Cu
0.000 0.000 0.039 Cu
0.000 0.000 0.472 La

La6CuSb15, single point on PBEsol structure, DFT meta-GGA SCAN; formation energy without anion corrections = -0.826 eV/atom; space-group type = Cm (8)
1.0
4.283 -0.006 -0.007
-2.122 12.332 -0.023
-2.122 -2.855 11.997
Sb La Cu
15 6 1
direct
0.576 0.755 0.532 Sb
0.719 0.085 0.488 Sb
0.433 0.799 0.201 Sb
0.150 0.920 0.514 Sb
0.576 0.532 0.755 Sb
0.036 0.603 0.603 Sb
0.578 0.145 0.145 Sb
0.285 0.454 0.249 Sb
0.433 0.201 0.799 Sb
0.276 0.842 0.842 Sb
0.939 0.006 0.006 Sb
0.285 0.249 0.454 Sb
0.839 0.407 0.407 Sb
0.719 0.488 0.085 Sb
0.150 0.514 0.920 Sb
0.071 0.273 0.003 La
0.932 0.672 0.326 La
0.797 0.731 0.996 La
0.932 0.326 0.672 La
0.071 0.003 0.273 La
0.797 0.996 0.731 La
0.673 0.738 0.738 Cu

La3Cu3Sb4, single point on PBEsol structure, DFT meta-GGA SCAN; formation energy without anion corrections = -0.937 eV/atom; space-group type = I-43d (220)
1.0
8.433 0.000 0.000
-2.811 7.951 0.000
-2.811 -3.975 6.886
La Sb Cu
6 8 6
direct
0.625 0.375 0.250 La
0.375 0.750 0.125 La
0.750 0.625 0.875 La
0.250 0.875 0.625 La
0.875 0.125 0.750 La
0.125 0.250 0.375 La
0.161 0.000 0.000 Sb
0.500 0.661 0.500 Sb
0.661 0.000 0.000 Sb
0.000 0.500 0.161 Sb
0.500 0.161 0.500 Sb
0.339 0.339 0.839 Sb
0.000 0.500 0.661 Sb
0.839 0.839 0.339 Sb
0.875 0.750 0.625 Cu
0.125 0.875 0.250 Cu
0.375 0.625 0.750 Cu
0.625 0.250 0.875 Cu
0.250 0.375 0.125 Cu
0.750 0.125 0.375 Cu

LaCuSb2W, single point on PBEsol structure, DFT meta-GGA SCAN; formation energy without anion corrections = 1.948 eV/atom; space-group type = P4/mmm (123)
1.0
-0.699 2.836 -3.897
-5.622 -1.190 0.142
-0.869 4.519 3.445
Cu W La Sb
1 1 1 2
direct
0.500 0.000 0.000 Cu
0.500 0.500 0.500 W
0.000 0.000 0.000 La
0.000 0.000 0.500 Sb
0.000 0.500 0.000 Sb

La2ScCu, single point on PBEsol structure, DFT meta-GGA SCAN; energy above the most stable polymorph in this dataset = 0.00 kJ per mole of atoms; space-group type = P4mm (99)
1.0
-0.788 -1.609 -2.956
-1.923 -2.277 1.752
-6.711 4.965 -0.914
Cu La Sc
1 2 1
direct
0.500 0.500 0.714 Cu
0.500 0.500 0.272 La
0.000 0.000 0.951 La
0.000 0.000 0.563 Sc

LaSc3Cu, single point on PBEsol structure, DFT meta-GGA SCAN; space-group type = Pm-3m (221); total DFT energy (no corrections) = -20.1899 eV per atom
1.0
-1.914 -0.119 -4.631
-4.204 -2.059 1.790
-1.945 4.568 0.687
Cu Sc La
1 3 1
direct
0.000 0.000 0.000 Cu
0.000 0.000 0.500 Sc
0.500 0.000 0.000 Sc
0.000 0.500 0.000 Sc
0.500 0.500 0.500 La

LaScCu, single point on PBEsol structure, DFT meta-GGA SCAN; space-group type = F-43m (216); total DFT energy (no corrections) = -23.6885 eV per atom
1.0
4.620 0.000 0.000
2.310 4.001 0.000
2.310 1.334 3.772
Sc La Cu
1 1 1
direct
0.250 0.250 0.250 Sc
0.500 0.500 0.500 La
0.000 0.000 0.000 Cu

La2ScCu, single point on PBEsol structure, DFT meta-GGA SCAN; energy above the most stable polymorph in this dataset = 23.76 kJ per mole of atoms; space-group type = Fm-3m (225)
1.0
-4.151 2.401 2.123
-0.928 -0.425 5.144
0.689 4.143 3.140
La Cu Sc
2 1 1
direct
0.250 0.250 0.250 La
0.750 0.750 0.750 La
0.000 0.000 0.000 Cu
0.500 0.500 0.500 Sc

La2ScCu, single point on PBEsol structure, DFT meta-GGA SCAN; energy above the most stable polymorph in this dataset = 27.38 kJ per mole of atoms; space-group type = Pmmm (47)
1.0
-0.256 2.604 -2.292
-4.111 1.921 2.641
3.276 2.933 2.966
La Cu Sc
2 1 1
direct
0.000 0.000 0.000 La
0.500 0.000 0.500 La
0.000 0.500 0.500 Cu
0.500 0.500 0.000 Sc

La2ScCu, single point on PBEsol structure, DFT meta-GGA SCAN; energy above the most stable polymorph in this dataset = 0.83 kJ per mole of atoms; space-group type = Imm2 (44)
1.0
-2.684 2.008 1.164
0.844 -1.727 4.925
4.369 3.977 -2.192
La Sc Cu
2 1 1
direct
0.756 0.756 0.513 La
0.966 0.466 0.932 La
0.548 0.048 0.096 Sc
0.230 0.230 0.460 Cu

LaCuSe, single point on PBEsol structure, DFT meta-GGA SCAN; formation energy without anion corrections = -0.831 eV/atom; space-group type = F-43m (216)
1.0
4.854 0.000 0.000
2.427 4.204 0.000
2.427 1.401 3.963
Cu Se La
1 1 1
direct
0.500 0.500 0.500 Cu
0.000 0.000 0.000 Se
0.250 0.250 0.250 La

LaCu2Se, single point on PBEsol structure, DFT meta-GGA SCAN; formation energy without anion corrections = -0.646 eV/atom; space-group type = Pmmm (47)
1.0
-0.578 -2.901 -2.570
3.883 -1.709 1.056
-2.067 -2.597 3.398
Cu La Se
2 1 1
direct
0.000 0.000 0.244 Cu
0.000 0.000 0.756 Cu
0.500 0.500 0.000 La
0.000 0.500 0.500 Se

LaCu3Se, single point on PBEsol structure, DFT meta-GGA SCAN; formation energy without anion corrections = 1.394 eV/atom; space-group type = Pm-3m (221)
1.0
5.022 0.000 0.000
0.000 5.022 0.000
0.000 0.000 5.022
Cu Se La
3 1 1
direct
0.000 0.500 0.000 Cu
0.500 0.000 0.000 Cu
0.000 0.000 0.500 Cu
0.500 0.500 0.500 Se
0.000 0.000 0.000 La

In the order shown, the computed total moment values come out to 0.0 0.0 0.0 0.0 0.0 0.0 0.0 0.0 0.0 0.0 0.0 0.0 0.0 0.0 3.6 0.0 0.0 0.0 0.0 0.0 0.0 0.0 0.0 0.0 Bohr magnetons per cell.